# 1
HfCdAsO5: optimized geometry, GGA-PBE.

Results
Size of the total moment in μB per formula unit: 0.403
Symmetry: C2/c (15)

```
HfCdAsO5
1.0
3.8549 -4.3540 0.0000
3.8549 4.3540 0.0000
-3.8268 0.0000 6.9979
Hf Cd As O
2 2 2 10
Direct
0.0000 0.5000 0.0000
0.5000 0.0000 0.5000
0.0586 0.9414 0.7500
0.9414 0.0586 0.2500
0.4232 0.5768 0.7500
0.5768 0.4232 0.2500
0.2049 0.7951 0.2500
0.2073 0.6426 0.8635
0.2503 0.2702 0.0549
0.2702 0.2503 0.5549
0.3574 0.7927 0.6365
0.6426 0.2073 0.3635
0.7298 0.7497 0.4451
0.7497 0.7298 0.9451
0.7927 0.3574 0.1365
0.7951 0.2049 0.7500
```

=====

# 2
HfCd2AsPt: optimized geometry, GGA-PBE.

Results
Size of the total moment in μB per formula unit: 0.000
Formation energy in meV per atom: 237
Symmetry: P4/mmm (123)

```
HfCd2AsPt
1.0
5.0901 0.0000 0.0000
0.0000 5.0901 0.0000
0.0000 0.0000 5.0504
Hf Cd As Pt
1 2 1 1
Direct
0.0000 0.0000 0.0000
0.0000 0.5000 0.5000
0.5000 0.0000 0.5000
0.5000 0.5000 0.0000
0.0000 0.0000 0.5000
```

=====

# 3
HfCdAs2Rh: optimized geometry, GGA-PBE.

Results
Size of the total moment in μB per formula unit: 0.001
Formation energy in meV per atom: 1417
Symmetry: P4/mmm (123)

```
HfCdAs2Rh
1.0
4.8735 0.0000 0.0000
0.0000 4.8735 0.0000
0.0000 0.0000 5.3112
Hf Cd As Rh
1 1 2 1
Direct
0.0000 0.0000 0.0000
0.0000 0.0000 0.5000
0.0000 0.5000 0.5000
0.5000 0.0000 0.5000
0.5000 0.5000 0.0000
```

=====

# 4
HfCdSi2As: optimized geometry, GGA-PBE.

Results
Size of the total moment in μB per formula unit: 0.000
Symmetry: P4/mmm (123)

```
HfCdSi2As
1.0
5.0517 0.0000 0.0000
0.0000 5.0517 0.0000
0.0000 0.0000 5.5020
Hf Cd Si As
1 1 2 1
Direct
0.0000 0.0000 0.0000
0.0000 0.0000 0.5000
0.0000 0.5000 0.0000
0.5000 0.0000 0.0000
0.5000 0.5000 0.5000
```

=====

# 5
Hf2CdSnAs: optimized geometry, GGA-PBE.

Results
Size of the total moment in μB per formula unit: 0.000
Formation energy in meV per atom: 272
Symmetry: P4/mmm (123)

```
Hf2CdSnAs
1.0
5.0377 0.0000 0.0000
0.0000 5.0377 0.0000
0.0000 0.0000 4.9578
Hf Cd Sn As
2 1 1 1
Direct
0.0000 0.5000 0.0000
0.5000 0.0000 0.0000
0.0000 0.0000 0.5000
0.5000 0.5000 0.5000
0.0000 0.0000 0.0000
```

=====

# 6
Hf2TiCdAs: optimized geometry, GGA-PBE.

Results
Size of the total moment in μB per formula unit: 0.000
Formation energy in meV per atom: 944
Symmetry: P4/mmm (123)

```
Hf2TiCdAs
1.0
4.8632 0.0000 0.0000
0.0000 4.8632 0.0000
0.0000 0.0000 5.1943
Hf Ti Cd As
2 1 1 1
Direct
0.0000 0.5000 0.0000
0.5000 0.0000 0.0000
0.0000 0.0000 0.0000
0.0000 0.0000 0.5000
0.5000 0.5000 0.5000
```

=====

# 7
Cd5Hg12As3: optimized geometry, GGA-PBE.

Results
Size of the total moment in μB per formula unit: 0.000
Formation energy in meV per atom: 162
Symmetry: Ia-3d (230)

```
Cd5Hg12As3
1.0
-8.4329 8.4329 8.4329
8.4329 -8.4329 8.4329
8.4329 8.4329 -8.4329
Cd Hg As
20 48 12
Direct
0.0000 0.0000 0.0000
0.0000 0.0000 0.5000
0.0000 0.5000 0.0000
0.0000 0.5000 0.5000
0.1250 0.7500 0.8750
0.1250 0.8750 0.2500
0.2500 0.1250 0.8750
0.2500 0.6250 0.3750
0.3750 0.2500 0.6250
0.3750 0.6250 0.7500
0.5000 0.0000 0.0000
0.5000 0.0000 0.5000
0.5000 0.5000 0.0000
0.5000 0.5000 0.5000
0.6250 0.3750 0.2500
0.6250 0.7500 0.3750
0.7500 0.3750 0.6250
0.7500 0.8750 0.1250
0.8750 0.1250 0.7500
0.8750 0.2500 0.1250
0.0644 0.6297 0.3935
0.0644 0.9347 0.6709
0.0653 0.2363 0.1297
0.0653 0.3291 0.9356
0.1065 0.7363 0.6709
0.1065 0.8703 0.4356
0.1297 0.0653 0.2363
0.1297 0.5644 0.8935
0.1709 0.2363 0.6065
0.1709 0.4347 0.5644
0.2363 0.1297 0.0653
0.2363 0.6065 0.1709
0.2637 0.3291 0.8935
0.2637 0.4347 0.3703
0.3291 0.8935 0.2637
0.3291 0.9356 0.0653
0.3703 0.2637 0.4347
0.3703 0.6065 0.9356
0.3935 0.0644 0.6297
0.3935 0.8291 0.7637
0.4347 0.3703 0.2637
0.4347 0.5644 0.1709
0.4356 0.1065 0.8703
0.4356 0.8291 0.5653
0.5644 0.1709 0.4347
0.5644 0.8935 0.1297
0.5653 0.4356 0.8291
0.5653 0.6297 0.7363
0.6065 0.1709 0.2363
0.6065 0.9356 0.3703
0.6297 0.3935 0.0644
0.6297 0.7363 0.5653
0.6709 0.0644 0.9347
0.6709 0.1065 0.7363
0.7363 0.5653 0.6297
0.7363 0.6709 0.1065
0.7637 0.3935 0.8291
0.7637 0.8703 0.9347
0.8291 0.5653 0.4356
0.8291 0.7637 0.3935
0.8703 0.4356 0.1065
0.8703 0.9347 0.7637
0.8935 0.1297 0.5644
0.8935 0.2637 0.3291
0.9347 0.6709 0.0644
0.9347 0.7637 0.8703
0.9356 0.0653 0.3291
0.9356 0.3703 0.6065
0.1250 0.2500 0.3750
0.1250 0.3750 0.7500
0.2500 0.3750 0.1250
0.2500 0.8750 0.6250
0.3750 0.1250 0.2500
0.3750 0.7500 0.1250
0.6250 0.2500 0.8750
0.6250 0.8750 0.7500
0.7500 0.1250 0.3750
0.7500 0.6250 0.8750
0.8750 0.6250 0.2500
0.8750 0.7500 0.6250
```

=====

# 8
CdHg2As: optimized geometry, GGA-PBE.

Results
Size of the total moment in μB per formula unit: 0.000
Energy relative to the lowest polymorph listed for this composition in eV/atom: 0.070
Formation energy in meV per atom: 152
Symmetry: Imm2 (44)

```
CdHg2As
1.0
-1.7419 2.1726 6.6046
1.7419 -2.1726 6.6046
1.7419 2.1726 -6.6046
Cd Hg As
1 2 1
Direct
0.0000 0.0000 0.0000
0.2727 0.7727 0.5000
0.5935 0.5935 0.0000
0.8262 0.3262 0.5000
```

=====

# 9
Cd2Hg2As: optimized geometry, GGA-PBE.

Results
Size of the total moment in μB per formula unit: 0.000
Energy relative to the lowest polymorph listed for this composition in eV/atom: 0.019
Formation energy in meV per atom: 222
Symmetry: I4/mmm (139)

```
Cd2Hg2As
1.0
-2.0656 2.0656 7.2459
2.0656 -2.0656 7.2459
2.0656 2.0656 -7.2459
Cd Hg As
2 2 1
Direct
0.0939 0.0939 0.0000
0.9061 0.9061 0.0000
0.2500 0.7500 0.5000
0.7500 0.2500 0.5000
0.5000 0.5000 0.0000
```

=====

# 10
CdHg2As: optimized geometry, GGA-PBE.

Results
Size of the total moment in μB per formula unit: 0.000
Energy relative to the lowest polymorph listed for this composition in eV/atom: 0.098
Formation energy in meV per atom: 180
Symmetry: R-3m (166)

```
CdHg2As
1.0
1.7578 1.0149 8.7819
-1.7578 1.0149 8.7819
0.0000 -2.0297 8.7819
Cd Hg As
1 2 1
Direct
0.0000 0.0000 0.0000
0.2483 0.2483 0.2483
0.7517 0.7517 0.7517
0.5000 0.5000 0.5000
```

=====

# 11
CdHg2As: optimized geometry, GGA-PBE.

Results
Size of the total moment in μB per formula unit: 0.000
Energy relative to the lowest polymorph listed for this composition in eV/atom: 0.118
Formation energy in meV per atom: 200
Symmetry: I-4m2 (119)

```
CdHg2As
1.0
-2.3232 2.3232 4.2301
2.3232 -2.3232 4.2301
2.3232 2.3232 -4.2301
Cd Hg As
1 2 1
Direct
0.0000 0.0000 0.0000
0.2500 0.7500 0.5000
0.5000 0.5000 0.0000
0.7500 0.2500 0.5000
```

=====

# 12
Cd12Hg3As5: optimized geometry, GGA-PBE.

Results
Size of the total moment in μB per formula unit: 0.000
Formation energy in meV per atom: 14
Symmetry: Ia-3d (230)

```
Cd12Hg3As5
1.0
-8.1641 8.1641 8.1641
8.1641 -8.1641 8.1641
8.1641 8.1641 -8.1641
Cd Hg As
48 12 20
Direct
0.0469 0.2243 0.1148
0.0469 0.3226 0.9322
0.0678 0.6148 0.3905
0.0678 0.9531 0.6774
0.1095 0.7243 0.6774
0.1095 0.8852 0.4322
0.1148 0.0469 0.2243
0.1148 0.5678 0.8905
0.1774 0.2243 0.6095
0.1774 0.4531 0.5678
0.2243 0.1148 0.0469
0.2243 0.6095 0.1774
0.2757 0.3226 0.8905
0.2757 0.4531 0.3852
0.3226 0.8905 0.2757
0.3226 0.9322 0.0469
0.3852 0.2757 0.4531
0.3852 0.6095 0.9322
0.3905 0.0678 0.6148
0.3905 0.8226 0.7757
0.4322 0.1095 0.8852
0.4322 0.8226 0.5469
0.4531 0.3852 0.2757
0.4531 0.5678 0.1774
0.5469 0.4322 0.8226
0.5469 0.6148 0.7243
0.5678 0.1774 0.4531
0.5678 0.8905 0.1148
0.6095 0.1774 0.2243
0.6095 0.9322 0.3852
0.6148 0.3905 0.0678
0.6148 0.7243 0.5469
0.6774 0.0678 0.9531
0.6774 0.1095 0.7243
0.7243 0.5469 0.6148
0.7243 0.6774 0.1095
0.7757 0.3905 0.8226
0.7757 0.8852 0.9531
0.8226 0.5469 0.4322
0.8226 0.7757 0.3905
0.8852 0.4322 0.1095
0.8852 0.9531 0.7757
0.8905 0.1148 0.5678
0.8905 0.2757 0.3226
0.9322 0.0469 0.3226
0.9322 0.3852 0.6095
0.9531 0.6774 0.0678
0.9531 0.7757 0.8852
0.1250 0.2500 0.3750
0.1250 0.3750 0.7500
0.2500 0.3750 0.1250
0.2500 0.8750 0.6250
0.3750 0.1250 0.2500
0.3750 0.7500 0.1250
0.6250 0.2500 0.8750
0.6250 0.8750 0.7500
0.7500 0.1250 0.3750
0.7500 0.6250 0.8750
0.8750 0.6250 0.2500
0.8750 0.7500 0.6250
0.0000 0.0000 0.0000
0.0000 0.0000 0.5000
0.0000 0.5000 0.0000
0.0000 0.5000 0.5000
0.1250 0.7500 0.8750
0.1250 0.8750 0.2500
0.2500 0.1250 0.8750
0.2500 0.6250 0.3750
0.3750 0.2500 0.6250
0.3750 0.6250 0.7500
0.5000 0.0000 0.0000
0.5000 0.0000 0.5000
0.5000 0.5000 0.0000
0.5000 0.5000 0.5000
0.6250 0.3750 0.2500
0.6250 0.7500 0.3750
0.7500 0.3750 0.6250
0.7500 0.8750 0.1250
0.8750 0.1250 0.7500
0.8750 0.2500 0.1250
```

=====

Taking the records one at a time from the top gives final energy values of -6.953, -4.258, -4.087, -4.189, -5.623, -5.729, -0.945, -1.390, -1.195, -1.362, -1.342, -1.742 eV/atom.